DFT (PBE) results for an optimized crystal structure of Tm2Tl3GeTe6.

For the density of states at the Fermi level, the calculation gives 6.6 states/eV/cell. Its space-group type is No. 12. As for the raw total energy: -4.007 eV/atom.

a = 10.426 Å, b = 10.426 Å, c = 9.478 Å
α = 107.82°, β = 107.82°, γ = 24.08°
Element x y z (fractional)
Tm (0.166, 0.166, 0.335)
Tm (0.834, 0.834, 0.665)
Tl (0.167, 0.167, 0.841)
Tl (0.500, 0.500, 0.500)
Tl (0.833, 0.833, 0.159)
Ge (0.500, 0.500, 0.000)
Te (0.009, 0.009, 0.227)
Te (0.325, 0.325, 0.433)
Te (0.344, 0.344, 0.894)
Te (0.656, 0.656, 0.106)
Te (0.675, 0.675, 0.567)
Te (0.991, 0.991, 0.773)


DFT (PBE) results for an optimized crystal structure of Tm6TlGe2Te3.

For the density of states at the Fermi level, the calculation gives 4.8 states/eV/cell. Its space-group type is No. 12. As for the raw total energy: -4.968 eV/atom.

a = 9.578 Å, b = 9.578 Å, c = 8.670 Å
α = 104.04°, β = 104.04°, γ = 25.27°
Element x y z (fractional)
Tm (0.010, 0.010, 0.254)
Tm (0.325, 0.325, 0.436)
Tm (0.332, 0.332, 0.892)
Tm (0.668, 0.668, 0.108)
Tm (0.675, 0.675, 0.564)
Tm (0.990, 0.990, 0.746)
Tl (0.500, 0.500, 0.000)
Ge (0.167, 0.167, 0.334)
Ge (0.833, 0.833, 0.666)
Te (0.164, 0.164, 0.831)
Te (0.500, 0.500, 0.500)
Te (0.836, 0.836, 0.169)


DFT (PBE) results for an optimized crystal structure of TmTlGeTe3.

Its space-group type is No. 11. As for the raw total energy: -4.175 eV/atom.

a = 8.941 Å, b = 4.246 Å, c = 11.520 Å
α = 90.00°, β = 107.77°, γ = 90.00°
Element x y z (fractional)
Tm (0.139, 0.250, 0.159)
Tm (0.861, 0.750, 0.841)
Tl (0.258, 0.750, 0.716)
Tl (0.742, 0.250, 0.284)
Ge (0.378, 0.750, 0.446)
Ge (0.622, 0.250, 0.554)
Te (0.118, 0.250, 0.891)
Te (0.161, 0.250, 0.431)
Te (0.398, 0.750, 0.215)
Te (0.602, 0.250, 0.785)
Te (0.839, 0.750, 0.569)
Te (0.882, 0.750, 0.109)


DFT (PBE) results for an optimized crystal structure of Tm3Tl3GeTe8.

For the density of states at the Fermi level, the calculation gives 5.7 states/eV/cell. Its space-group type is No. 166. As for the raw total energy: -4.119 eV/atom.

a = 9.566 Å, b = 9.566 Å, c = 9.566 Å
α = 54.09°, β = 54.09°, γ = 54.09°
Element x y z (fractional)
Tm (0.000, 0.500, 0.500)
Tm (0.500, 0.000, 0.500)
Tm (0.500, 0.500, 0.000)
Tl (0.000, 0.000, 0.500)
Tl (0.000, 0.500, 0.000)
Tl (0.500, 0.000, 0.000)
Ge (0.000, 0.000, 0.000)
Te (0.228, 0.228, 0.746)
Te (0.228, 0.746, 0.228)
Te (0.254, 0.772, 0.772)
Te (0.262, 0.262, 0.262)
Te (0.738, 0.738, 0.738)
Te (0.746, 0.228, 0.228)
Te (0.772, 0.254, 0.772)
Te (0.772, 0.772, 0.254)


DFT (PBE) results for an optimized crystal structure of U3Tl3GeTe8.

For the density of states at the Fermi level, the calculation gives 13.9 states/eV/cell. Its space-group type is No. 166. As for the raw total energy: -5.186 eV/atom.

a = 9.659 Å, b = 9.659 Å, c = 9.659 Å
α = 54.65°, β = 54.65°, γ = 54.65°
Element x y z (fractional)
U (0.000, 0.500, 0.500)
U (0.500, 0.000, 0.500)
U (0.500, 0.500, 0.000)
Tl (0.000, 0.000, 0.500)
Tl (0.000, 0.500, 0.000)
Tl (0.500, 0.000, 0.000)
Ge (0.000, 0.000, 0.000)
Te (0.234, 0.234, 0.737)
Te (0.234, 0.737, 0.234)
Te (0.261, 0.261, 0.261)
Te (0.263, 0.766, 0.766)
Te (0.737, 0.234, 0.234)
Te (0.739, 0.739, 0.739)
Te (0.766, 0.263, 0.766)
Te (0.766, 0.766, 0.263)


DFT (PBE) results for an optimized crystal structure of TlVGeTe3.

For the density of states at the Fermi level, the calculation gives 0.3 states/eV/cell. Its space-group type is No. 11. As for the raw total energy: -4.479 eV/atom.

a = 8.805 Å, b = 4.050 Å, c = 10.992 Å
α = 90.00°, β = 111.69°, γ = 90.00°
Element x y z (fractional)
Tl (0.210, 0.250, 0.289)
Tl (0.790, 0.750, 0.711)
V (0.391, 0.750, 0.869)
V (0.609, 0.250, 0.131)
Ge (0.120, 0.250, 0.550)
Ge (0.880, 0.750, 0.450)
Te (0.149, 0.250, 0.802)
Te (0.353, 0.750, 0.595)
Te (0.385, 0.750, 0.110)
Te (0.615, 0.250, 0.890)
Te (0.647, 0.250, 0.405)
Te (0.851, 0.750, 0.198)


DFT (PBE) results for an optimized crystal structure of Tl2GeTeW.

For the density of states at the Fermi level, the calculation gives 2.9 states/eV/cell. Its space-group type is No. 123. As for the raw total energy: -3.650 eV/atom.

a = 5.344 Å, b = 5.344 Å, c = 5.562 Å
α = 90.00°, β = 90.00°, γ = 90.00°
Element x y z (fractional)
Tl (0.000, 0.500, 0.000)
Tl (0.500, 0.000, 0.000)
Ge (0.000, 0.000, 0.000)
Te (0.000, 0.000, 0.500)
W (0.500, 0.500, 0.500)


DFT (PBE) results for an optimized crystal structure of Y4TlGeTe2.

For the density of states at the Fermi level, the calculation gives 4.9 states/eV/cell. Its space-group type is No. 10. As for the raw total energy: -5.880 eV/atom.

a = 7.436 Å, b = 4.259 Å, c = 7.692 Å
α = 90.00°, β = 108.49°, γ = 90.00°
Element x y z (fractional)
Y (0.231, 0.000, 0.227)
Y (0.242, 0.500, 0.760)
Y (0.758, 0.500, 0.240)
Y (0.769, 0.000, 0.773)
Tl (0.500, 0.000, 0.000)
Ge (0.000, 0.500, 0.000)
Te (0.000, 0.000, 0.500)
Te (0.500, 0.500, 0.500)